Arrangement A

# Mg4NiPb

A geometry-optimized Mg4NiPb structure (PBE, Alexandria via LeMat-Bulk).

a b c (Å): 14.7441 7.1182 5.2463
angles (deg): 90.00 110.57 90.00
With the nearest neighbours (Å) after each atom.
Space group C2/m (No. 12)
Unique sites:
Mg: 0.0000 0.2096 0.0000  2 Ni 2.53
Mg: 0.1207 0.2516 0.6196  2 Ni 2.69-2.70
Mg: 0.1654 0.5000 0.1645  2 Ni 2.71
Ni: 0.9999 0.5000 0.2783  1 Ni 2.32, 2 Mg 2.53
Pb: 0.1916 0.0000 0.1943  10 Mg 3.04-3.34

Results
DOS at the Fermi energy: 9.7 states/eV per cell
magnetization: 0.00 μB per formula unit

=====

Arrangement B

# Mg4NiPb

A geometry-optimized Mg4NiPb structure (PBE, Alexandria via LeMat-Bulk).

a b c (Å): 8.0367 8.0367 8.0367
angles (deg): 90.00 90.00 90.00
With the nearest neighbours (Å) after each atom.
Space group F-43m (No. 216)
Unique sites:
Mg: 0.1241 0.1241 0.1241  6 Mg 2.82-2.86
Ni: 0.2500 0.2500 0.7500  12 Mg 3.33, 4 Pb 3.48
Pb: 0.0000 0.0000 0.5000  12 Mg 3.33, 4 Ni 3.48

Results
DOS at the Fermi energy: 4.8 states/eV per cell
magnetization: 0.00 μB per formula unit

=====

Which is most stable? The ranking, best first, is arrangement A, arrangement B.